! meta-GGA SCAN HfFeCl2, PBEsol geometry; values from VASP
&SYSTEM
  ibrav = 0, nat = 4, ntyp = 3
/
ATOMIC_SPECIES
Hf 178.49 Hf.upf
Fe 55.84 Fe.upf
Cl 35.45 Cl.upf
CELL_PARAMETERS angstrom
1.548 0.894 8.230
-1.548 0.894 8.230
0.000 -1.788 8.230
ATOMIC_POSITIONS crystal
Hf 0.000 0.000 0.000
Fe 0.500 0.500 0.500
Cl 0.409 0.409 0.409
Cl 0.591 0.591 0.591
! uncorrected formation energy	-0.45	eV per atom
! DOS(E_F)	0.64	states/eV/atom

***

! meta-GGA SCAN LaHf2FeCl, PBEsol geometry; values from VASP
&SYSTEM
  ibrav = 0, nat = 5, ntyp = 4
/
ATOMIC_SPECIES
La 138.91 La.upf
Hf 178.49 Hf.upf
Fe 55.84 Fe.upf
Cl 35.45 Cl.upf
CELL_PARAMETERS angstrom
4.595 0.000 0.000
0.000 4.595 0.000
0.000 0.000 5.592
ATOMIC_POSITIONS crystal
La 0.000 0.000 0.000
Hf 0.000 0.500 0.500
Hf 0.500 0.000 0.500
Fe 0.500 0.500 0.500
Cl 0.500 0.500 0.000
! uncorrected formation energy	0.37	eV per atom
! DOS(E_F)	1.15	states/eV/atom

***

! meta-GGA SCAN HfFeSCl2, PBEsol geometry; values from VASP
&SYSTEM
  ibrav = 0, nat = 5, ntyp = 4
/
ATOMIC_SPECIES
Hf 178.49 Hf.upf
Fe 55.84 Fe.upf
S 32.06 S.upf
Cl 35.45 Cl.upf
CELL_PARAMETERS angstrom
4.890 0.000 0.000
0.000 4.890 0.000
0.000 0.000 4.887
ATOMIC_POSITIONS crystal
Hf 0.000 0.000 0.000
Fe 0.500 0.500 0.500
S 0.000 0.000 0.500
Cl 0.000 0.500 0.000
Cl 0.500 0.000 0.000
! uncorrected formation energy	-0.55	eV per atom
! DOS(E_F)	0.89	states/eV/atom

***

! meta-GGA SCAN HfFe2SeCl, PBEsol geometry; values from VASP
&SYSTEM
  ibrav = 0, nat = 5, ntyp = 4
/
ATOMIC_SPECIES
Hf 178.49 Hf.upf
Fe 55.84 Fe.upf
Se 78.96 Se.upf
Cl 35.45 Cl.upf
CELL_PARAMETERS angstrom
4.795 0.000 0.000
0.000 4.795 0.000
0.000 0.000 4.634
ATOMIC_POSITIONS crystal
Hf 0.000 0.000 0.000
Fe 0.000 0.500 0.000
Fe 0.500 0.000 0.000
Se 0.500 0.500 0.500
Cl 0.000 0.000 0.500
! uncorrected formation energy	0.78	eV per atom
! DOS(E_F)	0.44	states/eV/atom

***

! meta-GGA SCAN FeHgCl2, PBEsol geometry; values from VASP
&SYSTEM
  ibrav = 0, nat = 4, ntyp = 3
/
ATOMIC_SPECIES
Fe 55.84 Fe.upf
Hg 200.59 Hg.upf
Cl 35.45 Cl.upf
CELL_PARAMETERS angstrom
1.727 -2.886 0.000
1.727 2.886 0.000
0.000 0.000 8.594
ATOMIC_POSITIONS crystal
Fe 0.000 0.000 0.000
Hg 0.500 0.500 0.765
Cl 0.000 0.000 0.546
Cl 0.500 0.500 0.174
! uncorrected formation energy	-0.30	eV per atom
! E above lowest polymorph	34.5	kJ/mol of atoms
! DOS(E_F)	0.38	states/eV/atom

***

! meta-GGA SCAN FeHgCl2, PBEsol geometry; values from VASP
&SYSTEM
  ibrav = 0, nat = 4, ntyp = 3
/
ATOMIC_SPECIES
Fe 55.84 Fe.upf
Hg 200.59 Hg.upf
Cl 35.45 Cl.upf
CELL_PARAMETERS angstrom
1.681 0.971 9.146
-1.681 0.971 9.146
0.000 -1.942 9.146
ATOMIC_POSITIONS crystal
Fe 0.000 0.000 0.000
Hg 0.500 0.500 0.500
Cl 0.281 0.281 0.281
Cl 0.719 0.719 0.719
! uncorrected formation energy	-0.66	eV per atom
! E above lowest polymorph	0.0	kJ/mol of atoms

***

! meta-GGA SCAN Fe3HgCl, PBEsol geometry; values from VASP
&SYSTEM
  ibrav = 0, nat = 5, ntyp = 3
/
ATOMIC_SPECIES
Fe 55.84 Fe.upf
Hg 200.59 Hg.upf
Cl 35.45 Cl.upf
CELL_PARAMETERS angstrom
4.884 0.000 0.000
0.000 4.884 0.000
0.000 0.000 4.884
ATOMIC_POSITIONS crystal
Fe 0.000 0.000 0.500
Fe 0.000 0.500 0.000
Fe 0.500 0.000 0.000
Hg 0.000 0.000 0.000
Cl 0.500 0.500 0.500
! uncorrected formation energy	1.13	eV per atom
! E above lowest polymorph	39.6	kJ/mol of atoms
! DOS(E_F)	0.58	states/eV/atom

***

! meta-GGA SCAN Fe3HgCl, PBEsol geometry; values from VASP
&SYSTEM
  ibrav = 0, nat = 5, ntyp = 3
/
ATOMIC_SPECIES
Fe 55.84 Fe.upf
Hg 200.59 Hg.upf
Cl 35.45 Cl.upf
CELL_PARAMETERS angstrom
4.113 0.000 0.000
0.000 4.113 0.000
0.000 0.000 4.113
ATOMIC_POSITIONS crystal
Fe 0.000 0.000 0.500
Fe 0.000 0.500 0.000
Fe 0.500 0.000 0.000
Hg 0.500 0.500 0.500
Cl 0.000 0.000 0.000
! uncorrected formation energy	0.72	eV per atom
! E above lowest polymorph	0.0	kJ/mol of atoms
! DOS(E_F)	0.54	states/eV/atom

***

no.,raw total energy (eV per atom)
1,-24.644
2,-38.544
3,-21.826
4,-24.622
5,-25.865
6,-26.222
7,-24.978
8,-25.388